1.
Below is NaSrCaIr after structural relaxation, with properties calculated at the PBE-GGA level.

Cell lengths 7.4420, 7.4420, 7.4420 Å; angles 90.00, 90.00, 90.00 degrees
Positions (direct):
Na  0.0000  0.0000  0.0000
Na  0.0000  0.5000  0.5000
Na  0.5000  0.0000  0.5000
Na  0.5000  0.5000  0.0000
Sr  0.2500  0.2500  0.7500
Sr  0.2500  0.7500  0.2500
Sr  0.7500  0.2500  0.2500
Sr  0.7500  0.7500  0.7500
Ca  0.2500  0.2500  0.2500
Ca  0.2500  0.7500  0.7500
Ca  0.7500  0.2500  0.7500
Ca  0.7500  0.7500  0.2500
Ir  0.0000  0.0000  0.5000
Ir  0.0000  0.5000  0.0000
Ir  0.5000  0.0000  0.0000
Ir  0.5000  0.5000  0.5000

Summary:
Energy of formation ... -1.08 kcal/mol of atoms
Total magnetization ... 0.0 Bohr magnetons per cell
Electronic total energy ... -3.513 eV/atom

=====

2.
Below is AgMo2AsS after structural relaxation, with properties calculated at the PBE-GGA level.

Cell lengths 5.3130, 5.3130, 4.5432 Å; angles 90.00, 90.00, 90.00 degrees
Positions (direct):
Ag  0.0000  0.0000  0.0000
Mo  0.0000  0.5000  0.0000
Mo  0.5000  0.0000  0.0000
As  0.0000  0.0000  0.5000
S  0.5000  0.5000  0.5000

Summary:
Total magnetization ... 7.5 Bohr magnetons per cell
Electronic total energy ... -4.682 eV/atom
Energy relative to the elements, uncorrected ... 190.7 kJ/mol of atoms

=====

3.
Below is AcMg2Ga2Pd2 after structural relaxation, with properties calculated at the PBE-GGA level.

Cell lengths 9.0303, 9.0303, 9.0303 Å; angles 28.33, 28.33, 28.33 degrees
Positions (direct):
Ac  0.0000  0.0000  0.0000
Mg  0.1396  0.1396  0.1396
Mg  0.8604  0.8604  0.8604
Ga  0.2526  0.2526  0.2526
Ga  0.7474  0.7474  0.7474
Pd  0.4395  0.4395  0.4395
Pd  0.5605  0.5605  0.5605

Summary:
Energy of formation ... -13.87 kcal/mol of atoms
Total magnetization ... 0.0 Bohr magnetons per cell
Electronic total energy ... -3.993 eV/atom

=====

4.
Below is CaY2ThBi4 after structural relaxation, with properties calculated at the PBE-GGA level.

Cell lengths 7.8541, 4.5593, 7.8775 Å; angles 90.00, 109.28, 90.00 degrees
Positions (direct):
Ca  0.0000  0.0000  0.0000
Y  0.0000  0.5000  0.5000
Y  0.5000  0.0000  0.5000
Th  0.5000  0.5000  0.0000
Bi  0.2474  0.0000  0.7437
Bi  0.2534  0.5000  0.2561
Bi  0.7466  0.5000  0.7439
Bi  0.7526  0.0000  0.2563

Summary:
Energy of formation ... -18.72 kcal/mol of atoms
Total magnetization ... 0.0 Bohr magnetons per cell
Electronic total energy ... -5.546 eV/atom

=====

5.
Below is TbPm4In4 after structural relaxation, with properties calculated at the PBE-GGA level.

Cell lengths 9.2080, 9.2080, 6.2440 Å; angles 90.00, 90.00, 90.00 degrees
Positions (direct):
Tb  0.2500  0.2500  0.2500
Tb  0.7500  0.7500  0.7500
Pm  0.0800  0.8222  0.6214
Pm  0.1778  0.5800  0.1214
Pm  0.3222  0.9200  0.1214
Pm  0.4200  0.6778  0.6214
Pm  0.5800  0.3222  0.3786
Pm  0.6778  0.0800  0.8786
Pm  0.8222  0.4200  0.8786
Pm  0.9200  0.1778  0.3786
In  0.0485  0.1508  0.8652
In  0.1508  0.4515  0.6348
In  0.3492  0.0485  0.6348
In  0.4515  0.3492  0.8652
In  0.5485  0.6508  0.1348
In  0.6508  0.9515  0.3652
In  0.8492  0.5485  0.3652
In  0.9515  0.8492  0.1348

Summary:
Energy of formation ... -6.63 kcal/mol of atoms
Total magnetization ... 0.0 Bohr magnetons per cell
Electronic total energy ... -4.131 eV/atom

=====

6.
Below is Pm4Ho3Bi4 after structural relaxation, with properties calculated at the PBE-GGA level.

Cell lengths 10.4604, 10.4604, 10.4604 Å; angles 157.54, 127.12, 58.15 degrees
Positions (direct):
Pm  0.0104  0.8339  0.1766
Pm  0.3427  0.1661  0.1766
Pm  0.6573  0.8339  0.8234
Pm  0.9896  0.1661  0.8234
Ho  0.0000  0.5000  0.5000
Ho  0.4028  0.4028  0.0000
Ho  0.5972  0.5972  0.0000
Bi  0.2718  0.7718  0.5000
Bi  0.2916  0.0000  0.2916
Bi  0.7084  0.0000  0.7084
Bi  0.7282  0.2282  0.5000

Summary:
Energy of formation ... -12.72 kcal/mol of atoms
Total magnetization ... 0.0 Bohr magnetons per cell
Electronic total energy ... -4.939 eV/atom

=====

Among the records above, which one has the highest total magnetization? AgMo2AsS

=====

Copy entry 3 word for word.
Below is AcMg2Ga2Pd2 after structural relaxation, with properties calculated at the PBE-GGA level.

Cell lengths 9.0303, 9.0303, 9.0303 Å; angles 28.33, 28.33, 28.33 degrees
Positions (direct):
Ac  0.0000  0.0000  0.0000
Mg  0.1396  0.1396  0.1396
Mg  0.8604  0.8604  0.8604
Ga  0.2526  0.2526  0.2526
Ga  0.7474  0.7474  0.7474
Pd  0.4395  0.4395  0.4395
Pd  0.5605  0.5605  0.5605

Summary:
Energy of formation ... -13.87 kcal/mol of atoms
Total magnetization ... 0.0 Bohr magnetons per cell
Electronic total energy ... -3.993 eV/atom

=====

Copy entry 2 word for word.
Below is AgMo2AsS after structural relaxation, with properties calculated at the PBE-GGA level.

Cell lengths 5.3130, 5.3130, 4.5432 Å; angles 90.00, 90.00, 90.00 degrees
Positions (direct):
Ag  0.0000  0.0000  0.0000
Mo  0.0000  0.5000  0.0000
Mo  0.5000  0.0000  0.0000
As  0.0000  0.0000  0.5000
S  0.5000  0.5000  0.5000

Summary:
Total magnetization ... 7.5 Bohr magnetons per cell
Electronic total energy ... -4.682 eV/atom
Energy relative to the elements, uncorrected ... 190.7 kJ/mol of atoms

=====

Among the records above, which one has the highest total magnetization? AgMo2AsS